8
Lattice="-2.675 -1.770 5.855 5.641 -3.184 1.615 2.381 -0.352 4.788" Properties=species:S:1:pos:R:3 comment="Fe2TcMo GGA-PBE optimized geometry" e_tot_ev_per_atom=-8.861 magnetic_moment_mub_per_fu=3.1 delta_e_f_kj_per_mol_atoms=65 e_above_lowest_polymorph_mev_per_atom=599 pbc="T T T"
Mo 1.483 -2.477 3.735
Mo 4.753 -3.007 5.069
Tc 0.000 0.000 0.000
Tc 0.595 -2.300 7.189
Fe -0.380 -1.598 5.077
Fe 3.795 -2.294 2.919
Fe 2.880 -2.111 6.387
Fe 4.400 -4.610 10.132